Sr4CoTc: relaxed, PBE.

```
Sr4CoTc
1.0
0.0000 4.7731 4.7731
4.7731 0.0000 4.7731
4.7731 4.7731 0.0000
Sr Co Tc
4 1 1
Direct
0.1247 0.1247 0.1247 Sr
0.1247 0.1247 0.6259 Sr
0.1247 0.6259 0.1247 Sr
0.6259 0.1247 0.1247 Sr
0.5000 0.5000 0.5000 Co
0.7500 0.7500 0.7500 Tc
```

Summary:
- Crystal system: cubic
- Space-group type: F-43m (216)
- E_form: 1.52 eV per atom